1.
Entry from Alexandria via LeMat-Bulk: Mn6O7F5 after structural relaxation (PBEsol).

a b c (Å): 5.4799 5.4799 7.6068
angles (deg): 97.27 109.06 111.77
Last column: magnetic moment on the atom in μB.
Fractional coordinates of all 18 atoms:
Mn (0.4893, 0.0037, 0.4930)  3.61
O (0.6873, 0.0298, 0.3272)  0.06
Mn (0.0072, 0.9949, 0.0020)  -3.44
F (0.8098, 0.2129, 0.0227)  0.04
O (0.3039, 0.9709, 0.6681)  0.06
F (0.8011, 0.8860, 0.6871)  0.00
Mn (0.9841, 0.3424, 0.3265)  3.65
F (0.1876, 0.1199, 0.3076)  0.01
F (0.1773, 0.7668, 0.9442)  0.01
Mn (0.4991, 0.3352, 0.8343)  3.51
O (0.6972, 0.3642, 0.6681)  0.06
O (0.8195, 0.5672, 0.3867)  0.05
O (0.2973, 0.6399, 0.3272)  0.06
Mn (0.9876, 0.6647, 0.6523)  3.12
Mn (0.5311, 0.6562, 0.1873)  3.42
F (0.1945, 0.4532, 0.6477)  0.08
O (0.7121, 0.6952, 0.0091)  0.03
O (0.3139, 0.2970, 0.0091)  0.03

Summary:
SG   Cm
Excess energy over the best structure of this formula in the dataset   0.011 eV/atom
Crystal system   monoclinic

2.
Entry from Alexandria via LeMat-Bulk: Mn3O4F2 after structural relaxation (PBEsol).

a b c (Å): 4.4993 4.5250 8.9788
angles (deg): 90.00 90.00 90.00
Last column: magnetic moment on the atom in μB.
Fractional coordinates of all 18 atoms:
Mn (0.0049, 0.2806, 0.1591)  3.35
Mn (0.0049, 0.2806, 0.8409)  3.35
Mn (0.9733, 0.2552, 0.5000)  3.57
O (0.3020, 0.5365, 0.5000)  0.04
F (0.2012, 0.0447, 0.3301)  0.04
F (0.7012, 0.9553, 0.8301)  0.04
O (0.6944, 0.9295, 0.5000)  0.09
O (0.8090, 0.4380, 0.3284)  0.04
O (0.1944, 0.0705, 0.0000)  0.09
F (0.7012, 0.9553, 0.1699)  0.04
O (0.8090, 0.4380, 0.6716)  0.04
O (0.8020, 0.4635, 0.0000)  0.04
F (0.2012, 0.0447, 0.6699)  0.04
Mn (0.5049, 0.7194, 0.3409)  3.35
Mn (0.4733, 0.7448, 0.0000)  3.57
O (0.3090, 0.5620, 0.8284)  0.04
O (0.3090, 0.5620, 0.1716)  0.04
Mn (0.5049, 0.7194, 0.6591)  3.35

Summary:
SG   Pmn2_1
Excess energy over the best structure of this formula in the dataset   0.000 eV/atom
Crystal system   orthorhombic

3.
Entry from Alexandria via LeMat-Bulk: Mn3O4F2 after structural relaxation (PBEsol).

a b c (Å): 4.5333 4.5333 8.9335
angles (deg): 90.00 90.00 90.00
Last column: magnetic moment on the atom in μB.
Fractional coordinates of all 18 atoms:
O (0.6961, 0.6961, 0.3358)  0.06
F (0.1849, 0.8151, 0.5000)  0.05
F (0.3151, 0.3151, 0.0000)  0.05
O (0.3039, 0.3039, 0.6642)  0.06
Mn (0.0000, 0.0000, 0.0000)  3.60
Mn (0.5000, 0.5000, 0.5000)  3.60
F (0.6849, 0.6849, 0.0000)  0.05
Mn (0.5000, 0.5000, 0.8169)  3.33
O (0.3039, 0.3039, 0.3358)  0.06
O (0.8039, 0.1961, 0.1643)  0.06
O (0.6961, 0.6961, 0.6642)  0.06
O (0.1961, 0.8039, 0.1643)  0.06
F (0.8151, 0.1849, 0.5000)  0.05
Mn (0.0000, 0.0000, 0.3169)  3.33
Mn (0.5000, 0.5000, 0.1831)  3.33
Mn (0.0000, 0.0000, 0.6831)  3.33
O (0.8039, 0.1961, 0.8357)  0.06
O (0.1961, 0.8039, 0.8357)  0.06

Summary:
SG   P4_2/mnm
Excess energy over the best structure of this formula in the dataset   0.017 eV/atom
Crystal system   tetragonal

For the records above, the corresponding VASP energy values read -138.7, -141.0, -140.7 eV for the cell shown.
For the records above, the corresponding raw formation energy values read -1874, -1820, -1803 meV per atom.